Record 1
Y2HfGaCo | the Alexandria database | GGA-PBE | relaxed; final energy = -5.8303 eV per atom; M_tot = 0.00 μB per formula unit; energy of formation = 3.86 eV/f.u.
1.0
5.601 0.000 0.000
0.000 4.393 0.000
0.000 0.000 5.601
Y Co Hf Ga
2 1 1 1
Cartesian
0.000 0.000 2.800
2.800 0.000 0.000
0.000 2.197 0.000
0.000 0.000 0.000
2.800 2.197 2.800

Record 2
Rb2SrInBi2 | the Alexandria database | GGA-PBE | relaxed; final energy = -2.8102 eV per atom; M_tot = 0.00 μB per formula unit; energy of formation = -2.74 eV/f.u.
1.0
-0.911 -6.566 3.723
7.104 0.865 3.263
-6.771 7.237 3.343
Rb Sr In Bi
4 2 2 4
Cartesian
-1.554 -0.225 3.441
0.975 1.760 6.888
-2.160 4.326 3.556
1.582 -2.791 6.773
5.328 0.648 2.448
1.776 0.216 0.816
4.872 -2.635 4.309
1.320 -3.067 2.677
-1.442 -3.913 4.175
2.540 -0.380 4.049
-3.119 1.916 6.281
0.863 5.449 6.154

Record 3
Pr4DyS7 | the Alexandria database | GGA-PBE | relaxed; final energy = -6.4382 eV per atom; M_tot = 0.00 μB per formula unit; ΔE_f (raw) = -24.65 eV per formula unit
1.0
-0.287 2.639 -2.942
-4.705 -4.975 -1.335
-5.623 7.566 7.336
Pr Dy S
4 1 7
Cartesian
-6.607 5.974 3.335
-4.009 -0.746 -0.277
-10.591 5.212 3.041
-3.468 2.401 2.493
-7.152 2.856 0.592
-4.512 2.249 -0.210
-6.243 2.934 3.241
-8.613 4.701 5.058
-1.981 0.534 -1.996
-4.750 5.600 5.487
-5.803 -0.408 -2.468
-7.624 0.198 0.922

Record 4
K2OsRh | the Alexandria database | GGA-PBE | relaxed; distance to the lowest polymorph of the same formula = 191 kJ/mol of formula units; final energy = -4.1165 eV per atom; M_tot = 0.49 μB per formula unit; energy of formation = 4.31 eV/f.u.
1.0
2.798 -0.028 0.000
-1.261 2.498 0.000
0.000 0.000 11.297
K Os Rh
2 1 1
Cartesian
0.000 0.000 11.224
0.000 0.000 5.722
0.768 1.235 2.824
0.768 1.235 8.473